1.
# SrHN2 GGA-PBE optimized geometry
data_SrHN2
_cell_length_a 4.1276
_cell_length_b 4.1276
_cell_length_c 14.0029
_cell_angle_alpha 90.00
_cell_angle_beta 90.00
_cell_angle_gamma 120.00
_symmetry_space_group_name_H-M 'R -3 m'
_symmetry_Int_Tables_number 166
_symmetry_space_group_name_Hall '-R 3 2"'
loop_
_atom_site_label
_atom_site_fract_x
_atom_site_fract_y
_atom_site_fract_z
_atom_site_occupancy
Sr1 0.0000 0.0000 0.0000 1
H1 0.0000 0.0000 0.5000 1
N1 0.0000 0.0000 0.4134 1
# **M_tot**: 9.00 μB per cell
# **Density**: 2.8 g cm⁻³
# **Excess energy over the best structure of this formula in the dataset**: 0 meV per atom
# **Raw total energy**: -4.763 eV per atom
# **D(E_F)**: 0.214 states/eV/atom



2.
# Sr2HN GGA-PBE optimized geometry
data_Sr2HN
_cell_length_a 3.8248
_cell_length_b 3.8248
_cell_length_c 19.0475
_cell_angle_alpha 90.00
_cell_angle_beta 90.00
_cell_angle_gamma 120.00
_symmetry_space_group_name_H-M 'R -3 m'
_symmetry_Int_Tables_number 166
_symmetry_space_group_name_Hall '-R 3 2"'
loop_
_atom_site_label
_atom_site_fract_x
_atom_site_fract_y
_atom_site_fract_z
_atom_site_occupancy
Sr1 0.0000 0.0000 0.2386 1
H1 0.0000 0.0000 0.0000 1
N1 0.0000 0.0000 0.5000 1
# **M_tot**: 0.20 μB per cell
# **Density**: 3.9 g cm⁻³
# **Excess energy over the best structure of this formula in the dataset**: 0 meV per atom
# **Raw total energy**: -4.386 eV per atom
# **D(E_F)**: 0.000 states/eV/atom



3.
# Sr2HN GGA-PBE optimized geometry
data_Sr2HN
_cell_length_a 3.7660
_cell_length_b 3.7660
_cell_length_c 19.8050
_cell_angle_alpha 90.00
_cell_angle_beta 90.00
_cell_angle_gamma 120.00
_symmetry_space_group_name_H-M 'R 3 m'
_symmetry_Int_Tables_number 160
_symmetry_space_group_name_Hall 'R 3 -2"'
loop_
_atom_site_label
_atom_site_fract_x
_atom_site_fract_y
_atom_site_fract_z
_atom_site_occupancy
Sr1 0.0000 0.0000 0.0000 1
Sr2 0.0000 0.0000 0.1926 1
H1 0.0000 0.0000 0.4272 1
N1 0.0000 0.0000 0.5963 1
# **M_tot**: 0.22 μB per cell
# **Density**: 3.9 g cm⁻³
# **Excess energy over the best structure of this formula in the dataset**: 38 meV per atom
# **Raw total energy**: -4.348 eV per atom
# **D(E_F)**: 0.000 states/eV/atom



4.
# Sr3H3N GGA-PBE optimized geometry
data_Sr3H3N
_cell_length_a 7.0197
_cell_length_b 7.0197
_cell_length_c 19.1251
_cell_angle_alpha 90.00
_cell_angle_beta 90.00
_cell_angle_gamma 120.00
_symmetry_space_group_name_H-M 'R -3'
_symmetry_Int_Tables_number 148
_symmetry_space_group_name_Hall '-R 3'
loop_
_atom_site_label
_atom_site_fract_x
_atom_site_fract_y
_atom_site_fract_z
_atom_site_occupancy
Sr1 0.0062 0.6155 0.4208 1
H1 0.0126 0.7267 0.6195 1
N1 0.0000 0.0000 0.1667 1
# **M_tot**: 0.36 μB per cell
# **Density**: 3.4 g cm⁻³
# **Excess energy over the best structure of this formula in the dataset**: 0 meV per atom
# **Raw total energy**: -3.885 eV per atom
# **D(E_F)**: 0.000 states/eV/atom



5.
# SrHN3 GGA-PBE optimized geometry
data_SrHN3
_cell_length_a 3.663
_cell_length_b 3.663
_cell_length_c 3.663
_cell_angle_alpha 90.00
_cell_angle_beta 90.00
_cell_angle_gamma 90.00
_symmetry_space_group_name_H-M 'P m -3 m'
_symmetry_Int_Tables_number 221
_symmetry_space_group_name_Hall '-P 4 2 3'
loop_
_atom_site_label
_atom_site_fract_x
_atom_site_fract_y
_atom_site_fract_z
_atom_site_occupancy
Sr1 0.000 0.000 0.000 1
H1 0.500 0.500 0.500 1
N1 0.000 0.500 0.500 1
# **M_tot**: 0.00 μB per cell
# **Density**: 4.4 g cm⁻³
# **Raw total energy**: -4.309 eV per atom
# **D(E_F)**: 0.814 states/eV/atom



6.
# Sr4H6N GGA-PBE optimized geometry
data_Sr4H6N
_cell_length_a 8.280
_cell_length_b 8.280
_cell_length_c 5.979
_cell_angle_alpha 90.00
_cell_angle_beta 90.00
_cell_angle_gamma 90.00
_symmetry_space_group_name_H-M 'P 42/n m c'
_symmetry_Int_Tables_number 137
loop_
_symmetry_equiv_pos_as_xyz
'x,y,z'
'-x,-y,-z'
'-y+1/2,x,z+1/2'
'y+1/2,-x,-z+1/2'
'-x+1/2,-y+1/2,z'
'x+1/2,y+1/2,-z'
'y,-x+1/2,z+1/2'
'-y,x+1/2,-z+1/2'
'x+1/2,-y,-z'
'-x+1/2,y,z'
'-y,-x,-z+1/2'
'y,x,z+1/2'
'-x,y+1/2,-z'
'x,-y+1/2,z'
'y+1/2,x+1/2,-z+1/2'
'-y+1/2,-x+1/2,z+1/2'
loop_
_atom_site_label
_atom_site_fract_x
_atom_site_fract_y
_atom_site_fract_z
_atom_site_occupancy
Sr1 0.008 0.250 0.038 1
H1 0.027 0.527 0.250 1
H2 0.250 0.250 0.286 1
N1 0.250 0.750 0.750 1
# **M_tot**: 2.00 μB per cell
# **Density**: 3.0 g cm⁻³
# **Raw total energy**: -3.616 eV per atom
# **D(E_F)**: 0.511 states/eV/atom



7.
# Sr8HN3 GGA-PBE optimized geometry
data_Sr8HN3
_cell_length_a 7.8414
_cell_length_b 7.8414
_cell_length_c 13.6353
_cell_angle_alpha 90.00
_cell_angle_beta 90.00
_cell_angle_gamma 120.00
_symmetry_space_group_name_H-M 'P 63 m c'
_symmetry_Int_Tables_number 186
_symmetry_space_group_name_Hall 'P 6c -2c'
loop_
_atom_site_label
_atom_site_fract_x
_atom_site_fract_y
_atom_site_fract_z
_atom_site_occupancy
Sr1 0.0000 0.0000 0.0000 1
Sr2 0.0239 0.5120 0.0029 1
Sr3 0.1566 0.3132 0.2909 1
Sr4 0.3333 0.6667 0.7909 1
H1 0.3333 0.6667 0.1099 1
N1 0.1656 0.3312 0.8960 1
# **M_tot**: 1.27 μB per cell
# **Density**: 3.4 g cm⁻³
# **Raw total energy**: -3.909 eV per atom
# **D(E_F)**: 0.490 states/eV/atom



8.
# SrH6N GGA-PBE optimized geometry
data_SrH6N
_cell_length_a 4.7756
_cell_length_b 4.7756
_cell_length_c 11.0765
_cell_angle_alpha 90.00
_cell_angle_beta 90.00
_cell_angle_gamma 120.00
_symmetry_space_group_name_H-M 'R -3 m'
_symmetry_Int_Tables_number 166
_symmetry_space_group_name_Hall '-R 3 2"'
loop_
_atom_site_label
_atom_site_fract_x
_atom_site_fract_y
_atom_site_fract_z
_atom_site_occupancy
Sr1 0.0000 0.0000 0.0000 1
H1 0.0474 0.5237 0.0335 1
N1 0.0000 0.0000 0.5000 1
# **M_tot**: 3.01 μB per cell
# **Density**: 2.5 g cm⁻³
# **Raw total energy**: -3.492 eV per atom
# **D(E_F)**: 0.069 states/eV/atom



9.
# SrH4N2 GGA-PBE optimized geometry
data_SrH4N2
_cell_length_a 6.789
_cell_length_b 7.792
_cell_length_c 6.739
_cell_angle_alpha 90.00
_cell_angle_beta 109.53
_cell_angle_gamma 90.00
_symmetry_space_group_name_H-M 'P 1 21/c 1'
_symmetry_Int_Tables_number 14
_symmetry_space_group_name_Hall '-P 2ybc'
loop_
_atom_site_label
_atom_site_fract_x
_atom_site_fract_y
_atom_site_fract_z
_atom_site_occupancy
Sr1 0.250 0.123 0.000 1
H1 0.016 0.583 0.144 1
H2 0.123 0.725 0.322 1
H3 0.390 0.687 0.743 1
H4 0.450 0.040 0.625 1
N1 0.000 0.140 0.224 1
N2 0.479 0.119 0.755 1
# **M_tot**: 0.00 μB per cell
# **Density**: 2.4 g cm⁻³
# **Excess energy over the best structure of this formula in the dataset**: 0 meV per atom
# **Raw total energy**: -5.134 eV per atom
# **D(E_F)**: 0.000 states/eV/atom



10.
# Sr4H4N GGA-PBE optimized geometry
data_Sr4H4N
_cell_length_a 6.341
_cell_length_b 6.341
_cell_length_c 10.586
_cell_angle_alpha 90.00
_cell_angle_beta 90.00
_cell_angle_gamma 90.00
_symmetry_space_group_name_H-M 'I -4 2 m'
_symmetry_Int_Tables_number 121
_symmetry_space_group_name_Hall 'I -4 2'
loop_
_atom_site_label
_atom_site_fract_x
_atom_site_fract_y
_atom_site_fract_z
_atom_site_occupancy
Sr1 0.216 0.216 0.121 1
H1 0.000 0.000 0.303 1
H2 0.000 0.500 0.000 1
N1 0.000 0.000 0.000 1
# **M_tot**: 2.00 μB per cell
# **Density**: 2.9 g cm⁻³
# **Raw total energy**: -3.537 eV per atom
# **D(E_F)**: 0.294 states/eV/atom



11.
# Sr6H2N3 GGA-PBE optimized geometry
data_Sr6H2N3
_cell_length_a 6.657
_cell_length_b 11.528
_cell_length_c 6.817
_cell_angle_alpha 90.00
_cell_angle_beta 109.00
_cell_angle_gamma 90.00
_symmetry_space_group_name_H-M 'C 1 2/m 1'
_symmetry_Int_Tables_number 12
_symmetry_space_group_name_Hall '-C 2y'
loop_
_atom_site_label
_atom_site_fract_x
_atom_site_fract_y
_atom_site_fract_z
_atom_site_occupancy
Sr1 0.235 0.169 0.214 1
Sr2 0.242 0.500 0.209 1
H1 0.000 0.167 0.500 1
N1 0.000 0.000 0.000 1
N2 0.000 0.333 0.000 1
# **M_tot**: 2.00 μB per cell
# **Density**: 3.8 g cm⁻³
# **Raw total energy**: -4.386 eV per atom



12.
# SrHN2 GGA-PBE optimized geometry
data_SrHN2
_cell_length_a 6.011
_cell_length_b 6.011
_cell_length_c 6.011
_cell_angle_alpha 90.00
_cell_angle_beta 90.00
_cell_angle_gamma 90.00
_symmetry_space_group_name_H-M 'F m -3 m'
_symmetry_Int_Tables_number 225
_symmetry_space_group_name_Hall '-F 4 2 3'
loop_
_atom_site_label
_atom_site_fract_x
_atom_site_fract_y
_atom_site_fract_z
_atom_site_occupancy
Sr1 0.000 0.000 0.000 1
H1 0.000 0.000 0.500 1
N1 0.250 0.250 0.250 1
# **M_tot**: 12.00 μB per cell
# **Density**: 3.6 g cm⁻³
# **Excess energy over the best structure of this formula in the dataset**: 772 meV per atom
# **Raw total energy**: -3.990 eV per atom
# **D(E_F)**: 0.296 states/eV/atom



Q: Look up the M_tot of the second one.
A: 0.20 μB per cell



What did the third record say?
# Sr2HN GGA-PBE optimized geometry
data_Sr2HN
_cell_length_a 3.7660
_cell_length_b 3.7660
_cell_length_c 19.8050
_cell_angle_alpha 90.00
_cell_angle_beta 90.00
_cell_angle_gamma 120.00
_symmetry_space_group_name_H-M 'R 3 m'
_symmetry_Int_Tables_number 160
_symmetry_space_group_name_Hall 'R 3 -2"'
loop_
_atom_site_label
_atom_site_fract_x
_atom_site_fract_y
_atom_site_fract_z
_atom_site_occupancy
Sr1 0.0000 0.0000 0.0000 1
Sr2 0.0000 0.0000 0.1926 1
H1 0.0000 0.0000 0.4272 1
N1 0.0000 0.0000 0.5963 1
# **M_tot**: 0.22 μB per cell
# **Density**: 3.9 g cm⁻³
# **Excess energy over the best structure of this formula in the dataset**: 38 meV per atom
# **Raw total energy**: -4.348 eV per atom
# **D(E_F)**: 0.000 states/eV/atom